Record 1
## Pr6UN8 (PBE-GGA)

Data for Pr6UN8 after structural relaxation.

## Properties
Space group = R-3 (148)
Crystal system = trigonal
Raw formation energy = -1.117 eV per atom

The structure in extended XYZ format:
```
15
Lattice="-5.416 3.850 0.425 -5.493 -3.730 -0.498 -2.830 -0.700 5.986" Properties=species:S:1:pos:R:3 pbc="T T T"
Pr -5.010 -2.151 4.013
Pr -8.216 -2.767 2.664
Pr -7.014 0.185 5.747
Pr -6.725 -0.765 0.165
Pr -5.523 2.187 3.249
Pr -8.728 1.571 1.899
U 0.000 0.000 0.000
N -7.173 -2.551 5.155
N -6.021 -2.993 1.537
N -4.621 0.295 5.111
N -9.285 -0.392 3.996
N -4.454 -0.188 1.917
N -9.117 -0.876 0.801
N -7.718 2.413 4.376
N -6.566 1.971 0.757
```

Record 2
## KBWAu2 (PBE-GGA)

Data for KBWAu2 after structural relaxation.

## Properties
Energy of formation from the pure elements = 2.090 eV per atom
Space group = P4/mmm (123)
Crystal system = tetragonal

The structure in extended XYZ format:
```
5
Lattice="5.066 0.000 0.000 0.000 6.349 0.000 0.000 0.000 5.066" Properties=species:S:1:pos:R:3 pbc="T T T"
K 0.000 3.175 0.000
B 2.533 3.175 2.533
Au 0.000 0.000 2.533
Au 2.533 0.000 0.000
W 0.000 0.000 0.000
```

Record 3
## AcTb2Ni (PBE-GGA)

Data for AcTb2Ni after structural relaxation.

## Properties
Energy of formation from the pure elements = -0.121 eV per atom
Space group = R3m (160)
Crystal system = trigonal

The structure in extended XYZ format:
```
4
Lattice="-3.040 1.703 -1.889 -3.071 -2.200 -1.200 -6.220 1.284 7.012" Properties=species:S:1:pos:R:3 pbc="T T T"
Ac -6.139 0.384 1.911
Tb -5.551 1.052 5.726
Tb -2.717 0.070 0.278
Ni -4.089 -0.326 -2.031
```

Record 4
## Th2ZnGa (PBE-GGA)

Data for Th2ZnGa after structural relaxation.

## Properties
Energy of formation from the pure elements = -0.286 eV per atom
Space group = P4/mmm (123)
Crystal system = tetragonal

The structure in extended XYZ format:
```
4
Lattice="-3.946 1.322 0.379 -0.900 -1.373 -4.582 -1.325 -4.409 1.582" Properties=species:S:1:pos:R:3 pbc="T T T"
Zn -3.086 -2.230 -1.311
Ga -1.973 0.661 0.190
Th -0.662 -2.204 0.791
Th -0.450 -0.687 -2.291
```

Record 5
## AcGaB12 (PBE-GGA)

Data for AcGaB12 after structural relaxation.

## Properties
Energy of formation from the pure elements = -0.205 eV per atom
Space group = Fm-3m (225)
Crystal system = cubic

The structure in extended XYZ format:
```
14
Lattice="5.159 0.000 2.978 1.720 4.864 2.978 0.000 0.000 5.957" Properties=species:S:1:pos:R:3 pbc="T T T"
Ac 0.000 0.000 0.000
Ga 3.439 2.432 5.957
B 6.180 4.370 8.935
B 2.741 1.938 2.978
B 4.648 4.370 8.051
B 1.209 1.938 2.094
B 5.669 2.926 8.051
B 2.230 0.494 2.094
B 5.669 2.926 9.820
B 2.230 0.494 3.863
B 4.648 4.370 9.820
B 1.209 1.938 3.863
B 4.137 2.926 8.935
B 0.698 0.494 2.978
```

Record 6
## HgPd3Cl9 (PBE-GGA)

Data for HgPd3Cl9 after structural relaxation.

## Properties
Space group = Cc (9)
Crystal system = monoclinic
Raw formation energy = -0.359 eV per atom

The structure in extended XYZ format:
```
26
Lattice="-4.913 4.208 0.781 -0.316 2.703 10.626 4.505 9.932 2.004" Properties=species:S:1:pos:R:3 pbc="T T T"
Hg -0.108 14.856 8.502
Hg -0.812 7.348 1.966
Pd -0.006 10.365 8.208
Pd -0.341 2.540 1.614
Pd 3.061 11.478 11.488
Pd 0.915 5.205 5.181
Pd 0.524 10.621 4.265
Pd -1.193 6.413 8.466
Cl -0.313 4.987 3.083
Cl 2.639 10.570 9.261
Cl 2.142 12.227 4.827
Cl 0.251 8.167 9.055
Cl 1.738 7.808 2.316
Cl 0.462 3.222 6.447
Cl -2.436 4.471 8.060
Cl -1.270 9.151 3.946
Cl -3.602 9.836 11.763
Cl -0.128 12.539 7.283
Cl -0.861 11.254 10.198
Cl -3.911 5.755 4.035
Cl -0.745 6.581 6.203
Cl -0.099 14.138 12.748
Cl 1.068 9.561 6.250
Cl -1.941 6.460 10.657
Cl 3.878 10.231 2.565
Cl -2.339 9.877 7.481
```

Record 7
## Na2CdPPt (PBE-GGA)

Data for Na2CdPPt after structural relaxation.

## Properties
Energy of formation from the pure elements = 0.380 eV per atom
Space group = P4/mmm (123)
Crystal system = tetragonal

The structure in extended XYZ format:
```
5
Lattice="5.256 0.000 0.000 0.000 4.822 0.000 0.000 0.000 5.256" Properties=species:S:1:pos:R:3 pbc="T T T"
P 0.000 0.000 0.000
Na 0.000 0.000 2.628
Na 2.628 0.000 0.000
Pt 2.628 2.411 2.628
Cd 0.000 2.411 0.000
```

Record 8
## PaAl2GaPd4 (PBE-GGA)

Data for PaAl2GaPd4 after structural relaxation.

## Properties
Energy of formation from the pure elements = -0.671 eV per atom
Space group = R-3m (166)
Crystal system = trigonal

The structure in extended XYZ format:
```
8
Lattice="4.305 0.000 0.000 2.153 3.728 0.000 2.153 1.243 8.509" Properties=species:S:1:pos:R:3 pbc="T T T"
Pa 0.000 0.000 0.000
Al 6.458 3.728 6.174
Al 2.153 1.243 2.335
Ga 4.305 2.486 4.254
Pd 4.305 2.486 6.864
Pd 6.458 3.728 3.380
Pd 2.153 1.243 5.128
Pd 4.305 2.486 1.644
```

Record order is preserved below.
V: 251.9, 163.0, 124.9, 99.0, 149.5, 684.0, 133.2, 136.6 Å³/cell
Record order is preserved below.
Ρ: 7880, 6395, 8025, 10050, 4738, 4074, 4791, 9488 kg/m³